Entry 1:
Entry from the Alexandria database: a geometry-optimized CaTa2SO structure (PBE).

Structure (POSCAR):
```
CaTa2SO
1.0
4.096 0.000 0.000
0.000 4.096 0.000
0.000 0.000 5.405
Ca Ta S O
1 2 1 1
direct
0.000 0.000 0.000
0.000 0.500 0.500
0.500 0.000 0.500
0.500 0.500 0.000
0.000 0.000 0.500
```

## Properties
total energy: -7.44 eV per atom
E_form (uncorrected): -0.49 eV per atom

=====

Entry 2:
Entry from the Alexandria database: a geometry-optimized Ce2HoUAs4 structure (PBE).

Structure (POSCAR):
```
Ce2HoUAs4
1.0
7.188 0.000 0.000
0.000 4.142 0.000
-2.381 0.000 6.811
Ce Ho U As
2 1 1 4
direct
0.000 0.000 0.000
0.000 0.500 0.500
0.500 0.000 0.500
0.500 0.500 0.000
0.258 0.500 0.251
0.259 0.000 0.754
0.741 0.000 0.246
0.742 0.500 0.749
```

## Properties
total energy: -7.06 eV per atom

=====

Entry 3:
Entry from the Alexandria database: a geometry-optimized RbDySiTe4 structure (PBE).

Structure (POSCAR):
```
RbDySiTe4
1.0
7.164 0.000 0.000
0.000 7.606 0.000
-3.224 0.000 9.562
Rb Dy Si Te
2 2 2 8
direct
0.233 0.250 0.055
0.767 0.750 0.945
0.230 0.250 0.551
0.770 0.750 0.449
0.218 0.750 0.334
0.782 0.250 0.666
0.019 0.508 0.705
0.019 0.992 0.705
0.416 0.750 0.170
0.438 0.750 0.583
0.562 0.250 0.417
0.584 0.250 0.830
0.981 0.008 0.295
0.981 0.492 0.295
```

## Properties
total energy: -4.17 eV per atom
E_form (uncorrected): -0.80 eV per atom

=====

Entry 4:
Entry from the Alexandria database: a geometry-optimized PuRe3Si2 structure (PBE).

Structure (POSCAR):
```
PuRe3Si2
1.0
7.261 -2.100 0.000
7.261 2.100 0.000
-3.632 0.000 6.648
Pu Re Si
2 6 4
direct
0.145 0.145 0.066
0.855 0.855 0.934
0.047 0.047 0.384
0.298 0.298 0.530
0.410 0.410 0.332
0.590 0.590 0.668
0.702 0.702 0.470
0.953 0.953 0.616
0.196 0.196 0.732
0.479 0.479 0.828
0.521 0.521 0.172
0.804 0.804 0.268
```

## Properties
total energy: -10.67 eV per atom
E_form (uncorrected): -0.25 eV per atom

=====

Entry 5:
Entry from the Alexandria database: a geometry-optimized Ac4LaSe5 structure (PBE).

Structure (POSCAR):
```
Ac4LaSe5
1.0
-2.218 3.140 11.095
2.218 -3.140 11.095
2.218 3.140 -11.095
Ac La Se
4 1 5
direct
0.099 0.099 0.000
0.302 0.302 0.000
0.698 0.698 0.000
0.901 0.901 0.000
0.500 0.500 0.000
0.000 0.500 0.500
0.201 0.701 0.500
0.403 0.903 0.500
0.597 0.097 0.500
0.799 0.299 0.500
```

## Properties
total energy: -5.76 eV per atom
E_form (uncorrected): -1.89 eV per atom

=====

Entry 6:
Entry from the Alexandria database: a geometry-optimized SmMgAlAg structure (PBE).

Structure (POSCAR):
```
SmMgAlAg
1.0
7.061 0.000 0.000
0.000 7.061 0.000
0.000 0.000 7.061
Sm Mg Al Ag
4 4 4 4
direct
0.000 0.000 0.000
0.000 0.500 0.500
0.500 0.000 0.500
0.500 0.500 0.000
0.000 0.000 0.500
0.000 0.500 0.000
0.500 0.000 0.000
0.500 0.500 0.500
0.250 0.250 0.750
0.250 0.750 0.250
0.750 0.250 0.250
0.750 0.750 0.750
0.250 0.250 0.250
0.250 0.750 0.750
0.750 0.250 0.750
0.750 0.750 0.250
```

## Properties
total energy: -3.53 eV per atom